[1]
Density functional theory data (PBE) for crystalline RbCa3Se at its relaxed geometry.

Results
V, Å³ per cell: 229.8
Formation energy from raw total energies, meV/atom: 967
Energy relative to the lowest polymorph listed for this composition, eV/atom: 1.444
Energy, eV/atom: -1.12

```
data_RbCa3Se
_cell_length_a 6.125
_cell_length_b 6.125
_cell_length_c 6.125
_cell_angle_alpha 90.00
_cell_angle_beta 90.00
_cell_angle_gamma 90.00
_symmetry_space_group_name_H-M 'P 1'
_symmetry_Int_Tables_number 1
loop_
_symmetry_equiv_pos_as_xyz
'x,y,z'
loop_
_atom_site_label
_atom_site_fract_x
_atom_site_fract_y
_atom_site_fract_z
Rb1 0.000 0.000 0.000
Ca1 0.000 0.000 0.500
Ca2 0.000 0.500 0.000
Ca3 0.500 0.000 0.000
Se1 0.500 0.500 0.500
```

[2]
Density functional theory data (PBE) for crystalline Rb2CaSe at its relaxed geometry.

Results
V, Å³ per cell: 476.9
Formation energy from raw total energies, meV/atom: -650
Energy, eV/atom: -2.51

```
data_Rb2CaSe
_cell_length_a 13.066
_cell_length_b 13.066
_cell_length_c 9.652
_cell_angle_alpha 47.40
_cell_angle_beta 47.40
_cell_angle_gamma 90.00
_symmetry_space_group_name_H-M 'P 1'
_symmetry_Int_Tables_number 1
loop_
_symmetry_equiv_pos_as_xyz
'x,y,z'
loop_
_atom_site_label
_atom_site_fract_x
_atom_site_fract_y
_atom_site_fract_z
Se1 0.750 0.250 0.500
Se2 0.000 0.000 0.000
Rb1 0.875 0.032 0.750
Rb2 0.375 0.218 0.750
Rb3 0.968 0.625 0.250
Rb4 0.782 0.125 0.250
Ca1 0.250 0.750 0.500
Ca2 0.500 0.500 0.000
```